Arrangement w

Lu2TlIr, optimized geometry, DFT PBE; crystal system = trigonal; M_tot = 0.000 μB/f.u.; SG = No. 166
1.0
-1.443 2.286 -2.778
-1.091 -1.525 -3.392
-8.215 -0.893 0.828
Lu Tl Ir
2 1 1
Direct
0.269 0.269 0.193
0.731 0.731 0.807
0.500 0.500 0.500
0.000 0.000 0.000

=====

Arrangement x

Lu2TlIr, optimized geometry, DFT PBE; crystal system = tetragonal; M_tot = 0.000 μB/f.u.; SG = No. 123
1.0
-2.562 -1.213 1.992
2.311 -0.925 2.410
-0.672 6.718 3.224
Ir Lu Tl
1 2 1
Direct
0.500 0.500 0.000
0.000 0.000 0.787
0.000 0.000 0.213
0.500 0.500 0.500

=====

Result of the stability comparison: arrangement x is the most stable of them.

=====

Arrangement w

TmLuIr, optimized geometry, DFT PBE; crystal system = cubic; M_tot = 0.000 μB/f.u.; SG = No. 216
1.0
-0.888 4.618 -0.467
-3.798 1.444 -2.413
-3.651 1.947 2.284
Tm Lu Ir
1 1 1
Direct
0.000 0.000 0.000
0.500 0.500 0.500
0.250 0.250 0.250

=====

Arrangement x

TmLuIr, optimized geometry, DFT PBE; crystal system = tetragonal; M_tot = 0.000 μB/f.u.; SG = No. 107
1.0
3.394 0.000 0.000
0.000 3.394 0.000
-1.697 -1.697 6.244
Tm Ir Lu
1 1 1
Direct
0.036 0.036 0.072
0.668 0.668 0.335
0.296 0.296 0.592

=====

Result of the stability comparison: arrangement w is the most stable of them.

=====

Arrangement w

TmLu2Ir, optimized geometry, DFT PBE; crystal system = tetragonal; M_tot = 0.002 μB/f.u.; SG = No. 123
1.0
-2.558 -0.285 -2.164
1.173 -2.992 -0.993
-4.859 -3.986 6.268
Lu Tm Ir
2 1 1
Direct
0.000 0.000 0.186
0.000 0.000 0.814
0.500 0.500 0.500
0.500 0.500 0.000

=====

Arrangement x

TmLu2Ir, optimized geometry, DFT PBE; crystal system = trigonal; M_tot = 0.662 μB/f.u.; SG = No. 166
1.0
-2.610 1.229 -2.396
0.274 -0.814 -3.650
-5.658 -7.582 -0.660
Tm Lu Ir
1 2 1
Direct
0.500 0.500 0.500
0.275 0.275 0.176
0.725 0.725 0.824
0.000 0.000 0.000

=====

Result of the stability comparison: arrangement w is the most stable of them.

=====

Arrangement w

Tm2LuIr, optimized geometry, DFT PBE; crystal system = trigonal; M_tot = 0.788 μB/f.u.; SG = No. 166
1.0
3.764 0.000 0.000
1.882 3.260 0.000
1.882 1.087 9.243
Tm Ir Lu
2 1 1
Direct
0.726 0.726 0.823
0.274 0.274 0.177
0.000 0.000 0.000
0.500 0.500 0.500

=====

Arrangement x

Tm2LuIr, optimized geometry, DFT PBE; crystal system = tetragonal; M_tot = 0.001 μB/f.u.; SG = No. 123
1.0
3.460 0.000 0.000
0.000 3.460 0.000
0.000 0.000 8.456
Ir Tm Lu
1 2 1
Direct
0.500 0.500 0.000
0.000 0.000 0.812
0.000 0.000 0.188
0.500 0.500 0.500

=====

Result of the stability comparison: arrangement x is the most stable of them.

=====

Arrangement w

LuUIr2, optimized geometry, DFT PBE; crystal system = trigonal; M_tot = 0.077 μB/f.u.; SG = No. 166
1.0
3.838 0.000 0.000
1.919 3.324 0.000
1.919 1.108 6.753
U Lu Ir
1 1 2
Direct
0.000 0.000 0.000
0.500 0.500 0.500
0.256 0.256 0.232
0.744 0.744 0.768

=====

Arrangement x

LuUIr2, optimized geometry, DFT PBE; crystal system = tetragonal; M_tot = 1.633 μB/f.u.; SG = No. 123
1.0
3.348 0.000 0.000
0.000 3.348 0.000
0.000 0.000 6.983
Lu Ir U
1 2 1
Direct
0.500 0.500 0.500
0.000 0.000 0.754
0.000 0.000 0.246
0.500 0.500 0.000

=====

Result of the stability comparison: arrangement x is the most stable of them.

=====

Arrangement w

YLuIr2, optimized geometry, DFT PBE; crystal system = cubic; M_tot = 0.000 μB/f.u.; SG = No. 225
1.0
4.802 0.000 0.000
2.401 4.159 0.000
2.401 1.386 3.921
Y Ir Lu
1 2 1
Direct
0.000 0.000 0.000
0.250 0.250 0.250
0.750 0.750 0.750
0.500 0.500 0.500

=====

Arrangement x

YLuIr2, optimized geometry, DFT PBE; crystal system = tetragonal; M_tot = 0.000 μB/f.u.; SG = No. 123
1.0
3.304 0.000 0.000
0.000 3.304 0.000
0.000 0.000 7.144
Ir Y Lu
2 1 1
Direct
0.000 0.000 0.241
0.000 0.000 0.759
0.500 0.500 0.500
0.500 0.500 0.000

=====

Result of the stability comparison: arrangement x is the most stable of them.

=====

Arrangement w

LuZrIr, optimized geometry, DFT PBE; crystal system = cubic; M_tot = 0.000 μB/f.u.; SG = No. 216
1.0
-4.059 0.462 2.185
-3.962 -0.632 -2.316
-2.610 -3.732 0.851
Ir Zr Lu
1 1 1
Direct
0.250 0.250 0.250
0.000 0.000 0.000
0.500 0.500 0.500

=====

Arrangement x

LuZrIr, optimized geometry, DFT PBE; crystal system = tetragonal; M_tot = 0.000 μB/f.u.; SG = No. 107
1.0
-2.466 -0.447 -1.629
1.111 -2.600 -0.969
-2.561 -2.053 7.186
Lu Ir Zr
1 1 1
Direct
0.117 0.117 0.233
0.948 0.948 0.896
0.785 0.785 0.570

=====

Result of the stability comparison: arrangement w is the most stable of them.